Entry 1:
AcYbRh2 | PBE | relaxed

The magnetization is 0.8 μB per cell. The density of states at the Fermi level comes out at 14.73 states/eV/f.u. The calculation puts the energy at -90.2 eV per cell. For the volume, the calculation gives 22.581 A^3/atom.

The structure belongs to space group Fm-3m (No. 225); the cell edges are 7.122, 7.122 and 7.122 Å and the angles 90.00°, 90.00° and 90.00°. The distinct sites, in fractional coordinates, are Ac at (0.000, 0.000, 0.000), Yb at (0.000, 0.000, 0.500) and Rh at (0.250, 0.250, 0.250).

Entry 2:
AcZn2Rh | PBE | relaxed

The magnetization is 0.0 μB per cell. The density of states at the Fermi level comes out at 2.01 states/eV/f.u. The calculation puts the relative energy among the computed polymorphs at 0.0 meV/atom. For the volume, the calculation gives 21.217 A^3/atom.

The structure belongs to space group Pnma (No. 62); the cell edges are 15.553, 7.499 and 5.821 Å and the angles 90.00°, 90.00° and 90.00°. The distinct sites, in fractional coordinates, are Ac at (0.099, 0.250, 0.237), Ac at (0.139, 0.750, 0.041), Zn at (0.049, 0.065, 0.721), Zn at (0.205, 0.551, 0.563), Rh at (0.068, 0.750, 0.504) and Rh at (0.195, 0.250, 0.806).

Entry 3:
AcZn4Rh2 | PBE | relaxed

The magnetization is 0.0 μB per cell. The density of states at the Fermi level comes out at 3.01 states/eV/f.u. The calculation puts the relative energy among the computed polymorphs at 0.0 meV/atom. For the volume, the calculation gives 18.120 A^3/atom.

The structure belongs to space group P4_2/mnm (No. 136); the cell edges are 7.890, 7.890 and 4.075 Å and the angles 90.00°, 90.00° and 90.00°. The distinct sites, in fractional coordinates, are Ac at (0.000, 0.000, 0.000), Zn at (0.088, 0.349, 0.500) and Rh at (0.217, 0.783, 0.500).

Entry 4:
AcZn3Rh3 | PBE | relaxed

The magnetization is 0.0 μB per cell. The density of states at the Fermi level comes out at 5.70 states/eV/f.u. The calculation puts the energy at -191.2 eV per cell. For the volume, the calculation gives 17.999 A^3/atom.

The structure belongs to space group R-3 (No. 148, hexagonal axes); the cell edges are 6.6944, 6.6944 and 19.4779 Å and the angles 90.00°, 90.00° and 120.00°. The distinct sites, in fractional coordinates, are Ac at (0.0000, 0.0000, 0.1565), Zn at (0.0485, 0.6138, 0.3662) and Rh at (0.0018, 0.7652, 0.5673).

Entry 5:
Ac6ZnRh3 | PBE | relaxed

The magnetization is 0.0 μB per cell. The density of states at the Fermi level comes out at 7.15 states/eV/f.u. The calculation puts the energy at -106.1 eV per cell. For the volume, the calculation gives 33.729 A^3/atom.

The structure belongs to space group P2_1/m (No. 11); the cell edges are 12.716, 4.374 and 13.007 Å and the angles 90.00°, 111.19° and 90.00°. The distinct sites, in fractional coordinates, are Ac at (0.037, 0.250, 0.379), Ac at (0.104, 0.750, 0.949), Ac at (0.247, 0.250, 0.781), Ac at (0.250, 0.750, 0.280), Ac at (0.411, 0.250, 0.569), Ac at (0.440, 0.250, 0.108), Zn at (0.206, 0.750, 0.558), Rh at (0.009, 0.250, 0.790), Rh at (0.337, 0.750, 0.945) and Rh at (0.416, 0.250, 0.340).

Entry 6:
Ac8ZnRh4 | PBE | relaxed

The magnetization is 0.0 μB per cell. The density of states at the Fermi level comes out at 10.52 states/eV/f.u. The calculation puts the energy at -139.7 eV per cell. For the volume, the calculation gives 33.511 A^3/atom.

The structure belongs to space group C2/m (No. 12); the cell edges are 19.376, 4.318 and 13.851 Å and the angles 90.00°, 131.25° and 90.00°. The distinct sites, in fractional coordinates, are Ac at (0.042, 0.000, 0.193), Ac at (0.107, 0.500, 0.761), Ac at (0.176, 0.500, 0.539), Ac at (0.179, 0.500, 0.106), Zn at (0.000, 0.000, 0.500), Rh at (0.174, 0.000, 0.952) and Rh at (0.178, 0.500, 0.324).